1.
Entry from the Alexandria database: an optimized crystal structure of MgSbPb2 (GGA-PBEsol).

a b c (Å): 3.5097 4.5734 6.7870
angles (deg): 90.00 90.00 90.00
With the nearest neighbours (Å) after each atom.
Space group Pmmm (No. 47)
One atom of each set of equivalent atoms:
1 Mg 0.0000 0.0000 0.0000  8 Pb 3.33, 2 Sb 3.39, 2 Mg 3.51
2 Sb 0.0000 0.0000 0.5000  8 Pb 3.36, 2 Mg 3.39, 2 Sb 3.51
3 Pb 0.5000 0.5000 0.2454  4 Mg 3.33, 4 Pb 3.33-3.51, 4 Sb 3.36

Output
Fermi-level density of states: 2.05 states/eV/cell
E_tot: -14.2 eV for the cell shown
Raw formation energy: 10.9 kJ/mol of formula units
Density: 8.54 g/cm³
Spin magnetization: 0.000 μB/cell

---

2.
Entry from the Alexandria database: an optimized crystal structure of SbMo5 (GGA-PBEsol).

a b c (Å): 4.8536 4.8536 4.7124
angles (deg): 90.00 90.00 120.00
With the nearest neighbours (Å) after each atom.
Space group P-62m (No. 189)
One atom of each set of equivalent atoms:
1 Sb 0.0000 0.0000 0.0000  12 Mo 2.80-2.87
2 Mo 0.0000 0.3386 0.5000  10 Mo 2.78-2.85, 2 Sb 2.87
3 Mo 0.3333 0.6667 0.0000  3 Sb 2.80, 9 Mo 2.80-2.85

Output
Fermi-level density of states: 7.09 states/eV/cell
E_tot: -61.6 eV for the cell shown
Raw formation energy: 176.1 kJ/mol of formula units
Density: 10.39 g/cm³
Spin magnetization: 0.001 μB/cell

---

3.
Entry from the Alexandria database: an optimized crystal structure of InSb2Os (GGA-PBEsol).

a b c (Å): 4.3568 4.3568 4.3831
angles (deg): 90.00 90.00 90.00
With the nearest neighbours (Å) after each atom.
Space group P4/mmm (No. 123)
One atom of each set of equivalent atoms:
1 In 0.0000 0.0000 0.0000  4 Os 3.08, 8 Sb 3.09
2 Sb 0.0000 0.5000 0.5000  4 Sb 3.08, 4 Os 3.09, 4 In 3.09
3 Os 0.5000 0.5000 0.0000  4 In 3.08, 8 Sb 3.09

Output
Fermi-level density of states: 3.25 states/eV/cell
E_tot: -21.3 eV for the cell shown
Raw formation energy: 290.8 kJ/mol of formula units
Density: 10.95 g/cm³
Spin magnetization: 0.001 μB/cell

---

4.
Entry from the Alexandria database: an optimized crystal structure of Ba3MgH (GGA-PBEsol).

a b c (Å): 5.6606 5.6606 5.6606
angles (deg): 90.00 90.00 90.00
With the nearest neighbours (Å) after each atom.
Space group Pm-3m (No. 221)
One atom of each set of equivalent atoms:
1 Ba 0.0000 0.0000 0.5000  2 H 2.83
2 Mg 0.5000 0.5000 0.5000  12 Ba 4.00
3 H 0.0000 0.0000 0.0000  6 Ba 2.83

Output
Fermi-level density of states: 5.96 states/eV/cell
E_tot: -12.1 eV for the cell shown
Density: 4.00 g/cm³
Spin magnetization: 0.002 μB/cell

---

5.
Entry from the Alexandria database: an optimized crystal structure of NiPt2Rh (GGA-PBEsol).

a b c (Å): 5.3577 7.5505 2.6933
angles (deg): 90.00 90.00 90.00
With the nearest neighbours (Å) after each atom.
Space group Cmmm (No. 65)
One atom of each set of equivalent atoms:
1 Ni 0.0000 0.0000 0.0000  8 Pt 2.68, 2 Rh 2.68, 2 Ni 2.69
2 Pt 0.2500 0.2500 0.5000  4 Ni 2.68, 4 Rh 2.68, 4 Pt 2.68-2.69
3 Rh 0.0000 0.5000 0.0000  8 Pt 2.68, 2 Ni 2.68, 2 Rh 2.69

Output
Fermi-level density of states: 11.45 states/eV/cell
Formation energy from the elements: -45.7 meV per atom
E_tot: -56.8 eV for the cell shown
Density: 16.82 g/cm³
Spin magnetization: 3.122 μB/cell

---

6.
Entry from the Alexandria database: an optimized crystal structure of CrTeW2 (GGA-PBEsol).

a b c (Å): 9.3442 3.1110 4.5087
angles (deg): 90.00 102.26 90.00
With the nearest neighbours (Å) after each atom.
Space group C2/m (No. 12)
One atom of each set of equivalent atoms:
1 Cr 0.0000 0.0000 0.0000  4 Te 2.74, 6 W 2.76-2.81
2 Te 0.0000 0.5000 0.5000  4 Cr 2.74, 6 W 2.80-2.91
3 W 0.2428 0.5000 0.2285  4 W 2.61-2.88, 3 Cr 2.76-2.81, 3 Te 2.80-2.91

Output
Fermi-level density of states: 7.20 states/eV/cell
E_tot: -78.1 eV for the cell shown
Raw formation energy: 223.4 kJ/mol of formula units
Density: 14.19 g/cm³
Spin magnetization: 2.371 μB/cell

---

7.
Entry from the Alexandria database: an optimized crystal structure of Lu2MnSe4 (GGA-PBEsol).

a b c (Å): 11.2509 11.2509 11.2509
angles (deg): 90.00 90.00 90.00
With the nearest neighbours (Å) after each atom.
Space group Fd-3m (No. 227, origin choice 2)
One atom of each set of equivalent atoms:
1 Lu 0.0000 0.0000 0.0000  6 Se 2.77
2 Mn 0.1250 0.1250 0.6250  4 Se 2.51
3 Se 0.0036 0.0036 0.2464  1 Mn 2.51, 3 Lu 2.77

Output
E_tot: -356.4 eV for the cell shown
Raw formation energy: -930.3 kJ/mol of formula units
Density: 6.72 g/cm³
Spin magnetization: 40.000 μB/cell

---

8.
Entry from the Alexandria database: an optimized crystal structure of ThCu2P2 (GGA-PBEsol).

a b c (Å): 3.9633 3.9633 6.4222
angles (deg): 90.00 90.00 120.00
With the nearest neighbours (Å) after each atom.
Space group P-3m1 (No. 164)
One atom of each set of equivalent atoms:
1 Th 0.0000 0.0000 0.0000  6 P 2.87
2 Cu 0.3333 0.6667 0.6392  4 P 2.36-2.37
3 P 0.3333 0.6667 0.2709  4 Cu 2.36-2.37

Output
Fermi-level density of states: 0.16 states/eV/cell
Formation energy from the elements: -783.3 meV per atom
E_tot: -32.3 eV for the cell shown
Density: 8.00 g/cm³
Spin magnetization: 0.000 μB/cell